Record 1
ReAsSN2 | the Alexandria database | PBE-GGA | relaxed; mass density = 7.08 g cm⁻³; magnetic moment = 0.3 μB per cell; final energy = -34.513 eV per cell; ΔE_f (raw) = 0.673 eV per atom; energy above the lowest structure with this stoichiometry = 0 meV per atom; symmetry = P4/mmm, No. 123
1.0
-1.422 -2.450 -2.598
-0.909 -2.456 2.814
-4.578 2.195 0.436
N As Re S
2 1 1 1
Direct
0.500 0.000 0.000
0.000 0.500 0.000
0.500 0.500 0.500
0.000 0.000 0.000
0.000 0.000 0.500

Record 2
YCuSi2Rh | the Alexandria database | PBE-GGA | relaxed; mass density = 6.35 g cm⁻³; magnetic moment = 0.0 μB per cell; final energy = -32.828 eV per cell; ΔE_f (raw) = -0.814 eV per atom; symmetry = I-4m2, No. 119
1.0
-3.221 1.451 1.972
1.816 -0.771 3.533
2.723 4.207 -2.799
Si Rh Cu Y
2 1 1 1
Direct
0.619 0.619 0.238
0.381 0.381 0.762
0.750 0.250 0.500
0.250 0.750 0.500
0.000 0.000 0.000

Repeat the first record exactly.
ReAsSN2 | the Alexandria database | PBE-GGA | relaxed; mass density = 7.08 g cm⁻³; magnetic moment = 0.3 μB per cell; final energy = -34.513 eV per cell; ΔE_f (raw) = 0.673 eV per atom; energy above the lowest structure with this stoichiometry = 0 meV per atom; symmetry = P4/mmm, No. 123
1.0
-1.422 -2.450 -2.598
-0.909 -2.456 2.814
-4.578 2.195 0.436
N As Re S
2 1 1 1
Direct
0.500 0.000 0.000
0.000 0.500 0.000
0.500 0.500 0.500
0.000 0.000 0.000
0.000 0.000 0.500

Which formula does entry 2 have? YCuSi2Rh

Which value of mass density does entry 1 give? 7.08 g cm⁻³